(1)
Compound: MnGaPd3
Source: the Alexandria database
Functional: PBE
Structure: optimized geometry

Values from the calculation:
E above lowest polymorph = 6.247 eV/f.u.

a = 4.5412 Å, b = 4.5412 Å, c = 4.5412 Å
α = 90.00°, β = 90.00°, γ = 90.00°
Last column: nearest neighbours and their distance in Å.
Positions (direct):
Pd1 0.0000 0.5000 0.0000  2 Mn 2.27
Pd2 0.0000 0.0000 0.5000  2 Mn 2.27
Pd3 0.5000 0.0000 0.0000  2 Mn 2.27
Mn1 0.0000 0.0000 0.0000  6 Pd 2.27
Ga1 0.5000 0.5000 0.5000  12 Pd 3.21

(2)
Compound: PuHfIr
Source: the Alexandria database
Functional: PBE
Structure: optimized geometry

Values from the calculation:
E above lowest polymorph = 0.000 eV/f.u.

a = 5.7801 Å, b = 7.9940 Å, c = 8.6273 Å
α = 47.59°, β = 71.08°, γ = 62.85°
Last column: nearest neighbours and their distance in Å.
Positions (direct):
Ir1 0.6086 0.0774 0.1634  2 Hf 2.62-2.64, 2 Pu 2.78-2.82, 1 Ir 2.85
Ir2 0.1333 0.6021 0.1931  4 Hf 2.63-2.86, 1 Pu 2.82, 1 Ir 2.85
Ir3 0.8667 0.3979 0.8069  4 Hf 2.63-2.86, 1 Pu 2.82, 1 Ir 2.85
Ir4 0.3914 0.9226 0.8366  2 Hf 2.62-2.64, 2 Pu 2.78-2.82, 1 Ir 2.85
Pu1 0.2919 0.5358 0.8567  3 Ir 2.78-3.07
Pu2 0.7997 0.8880 0.5603  3 Ir 2.82-3.03, 1 Pu 3.06
Pu3 0.2003 0.1120 0.4397  3 Ir 2.82-3.03, 1 Pu 3.06
Pu4 0.7081 0.4642 0.1433  3 Ir 2.78-3.07
Hf1 0.2054 0.9758 0.1292  4 Ir 2.64-2.95
Hf2 0.7110 0.6102 0.4296  3 Ir 2.62-2.71
Hf3 0.7946 0.0242 0.8708  4 Ir 2.64-2.95
Hf4 0.2890 0.3898 0.5704  3 Ir 2.62-2.71

(3)
Compound: Pm6Sb2Se3Br
Source: the Alexandria database
Functional: PBE
Structure: optimized geometry

Values from the calculation:
E_form (uncorrected) = -145.82 kJ/mol of atoms

a = 4.3145 Å, b = 8.6696 Å, c = 9.7085 Å
α = 103.51°, β = 102.84°, γ = 90.00°
Last column: nearest neighbours and their distance in Å.
Positions (direct):
Pm1 0.9968 0.2771 0.9936  3 Se 2.89-2.95, 1 Sb 3.09
Pm2 0.3214 0.9210 0.6428  3 Se 2.91-2.99, 2 Sb 3.11
Pm3 0.6645 0.5919 0.3290  3 Se 3.01-3.02, 3 Sb 3.14-3.15
Pm4 0.3355 0.4081 0.6710  3 Se 3.01-3.02, 3 Sb 3.14-3.15
Pm5 0.0032 0.7229 0.0064  3 Se 2.89-2.95, 1 Sb 3.09
Pm6 0.6786 0.0790 0.3572  3 Se 2.91-2.99, 2 Sb 3.11
Sb1 0.1641 0.3285 0.3282  6 Pm 3.09-3.15
Sb2 0.8359 0.6715 0.6718  6 Pm 3.09-3.15
Se1 0.1632 0.8338 0.3265  6 Pm 2.91-3.01
Se2 0.5000 0.5000 0.0000  6 Pm 2.89-3.02
Se3 0.8368 0.1662 0.6735  6 Pm 2.91-3.01
Br1 0.5000 0.0000 0.0000  6 Pm 3.24-3.29

(4)
Compound: Pr3Ga3Rh
Source: the Alexandria database
Functional: PBE
Structure: optimized geometry

Values from the calculation:
DFT total energy = -5.049 eV per atom

a = 4.4782 Å, b = 5.9943 Å, c = 13.8422 Å
α = 87.03°, β = 80.69°, γ = 68.07°
Last column: nearest neighbours and their distance in Å.
Positions (direct):
Pr1 0.3929 0.2892 0.9250  7 Ga 3.19-3.26
Pr2 0.5272 0.3241 0.6215  7 Ga 3.14-3.41, 4 Rh 3.15-3.39
Pr3 0.4728 0.6759 0.3785  7 Ga 3.14-3.41, 4 Rh 3.15-3.39
Pr4 0.7486 0.7359 0.7669  6 Ga 3.06-3.32
Pr5 0.6071 0.7108 0.0750  7 Ga 3.19-3.26
Pr6 0.2514 0.2641 0.2331  6 Ga 3.06-3.32
Rh1 0.2431 0.9275 0.5863  4 Ga 2.54-2.68
Rh2 0.7569 0.0725 0.4137  4 Ga 2.54-2.68
Ga1 0.8587 0.7398 0.5427  3 Rh 2.54-2.57
Ga2 0.1413 0.2602 0.4573  3 Rh 2.54-2.57
Ga3 0.1074 0.8639 0.9214  2 Ga 2.62-2.65
Ga4 0.0494 0.1379 0.7633  1 Ga 2.65, 1 Rh 2.68
Ga5 0.8926 0.1361 0.0786  2 Ga 2.62-2.65
Ga6 0.9506 0.8621 0.2367  1 Ga 2.65, 1 Rh 2.68

(5)
Compound: CoReOs4
Source: the Alexandria database
Functional: PBE
Structure: optimized geometry

Values from the calculation:
DFT total energy = -9.936 eV per atom

a = 5.0631 Å, b = 5.0631 Å, c = 5.0631 Å
α = 60.00°, β = 60.00°, γ = 60.00°
Last column: nearest neighbours and their distance in Å.
Positions (direct):
Os1 0.3747 0.8760 0.3747  6 Os 2.52-2.54
Os2 0.8760 0.3747 0.3747  6 Os 2.52-2.54
Os3 0.3747 0.3747 0.3747  6 Os 2.52-2.54
Os4 0.3747 0.3747 0.8760  6 Os 2.52-2.54
Co1 0.0000 0.0000 0.0000  12 Os 2.97, 4 Re 3.10
Re1 0.7500 0.7500 0.7500  12 Os 2.97, 4 Co 3.10

(6)
Compound: Tb2Pm3Sm8
Source: the Alexandria database
Functional: PBE
Structure: optimized geometry

Values from the calculation:
E above lowest polymorph = 0.000 eV/f.u.

a = 6.2133 Å, b = 8.8485 Å, c = 8.8485 Å
α = 83.63°, β = 72.55°, γ = 72.55°
Last column: nearest neighbours and their distance in Å.
Positions (direct):
Sm1 0.6730 0.5711 0.0842  2 Tb 3.42-3.65, 4 Sm 3.46-3.75, 2 Pm 3.61-3.68
Sm2 0.7817 0.4454 0.4454  5 Sm 3.20-3.55, 2 Tb 3.27-3.31, 2 Pm 3.51
Sm3 0.0510 0.8445 0.8445  3 Pm 3.21-3.46, 2 Tb 3.40-3.59, 1 Sm 3.54
Sm4 0.6730 0.0842 0.5711  2 Tb 3.42-3.65, 4 Sm 3.46-3.75, 2 Pm 3.61-3.68
Sm5 0.2183 0.5546 0.5546  5 Sm 3.20-3.55, 2 Tb 3.27-3.31, 2 Pm 3.51
Sm6 0.9490 0.1555 0.1555  3 Pm 3.21-3.46, 2 Tb 3.40-3.59, 1 Sm 3.54
Sm7 0.3270 0.4289 0.9158  2 Tb 3.42-3.65, 4 Sm 3.46-3.75, 2 Pm 3.61-3.68
Sm8 0.3270 0.9158 0.4289  2 Tb 3.42-3.65, 4 Sm 3.46-3.75, 2 Pm 3.61-3.68
Pm1 0.5000 0.0000 0.0000  2 Sm 3.21, 2 Tb 3.53
Pm2 0.0000 0.2429 0.7571  8 Sm 3.46-3.88
Pm3 0.0000 0.7571 0.2429  8 Sm 3.46-3.88
Tb1 0.6473 0.7119 0.7119  8 Sm 3.27-3.65, 1 Pm 3.53
Tb2 0.3527 0.2881 0.2881  8 Sm 3.27-3.65, 1 Pm 3.53

(7)
Compound: MgCrIn2
Source: the Alexandria database
Functional: PBE
Structure: optimized geometry

Values from the calculation:
DFT total energy = -3.885 eV per atom

a = 4.9964 Å, b = 4.9964 Å, c = 4.9964 Å
α = 60.00°, β = 60.00°, γ = 60.00°
Last column: nearest neighbours and their distance in Å.
Positions (direct):
In1 0.2500 0.2500 0.2500  4 Cr 3.06, 4 In 3.06
In2 0.0000 0.0000 0.0000  4 Mg 3.06, 4 In 3.06
Mg1 0.7500 0.7500 0.7500  4 Cr 3.06, 4 In 3.06
Cr1 0.5000 0.5000 0.5000  4 In 3.06, 4 Mg 3.06

(8)
Compound: YBeZnPd2
Source: the Alexandria database
Functional: PBE
Structure: optimized geometry

Values from the calculation:
DFT total energy = -4.823 eV per atom

a = 4.4442 Å, b = 4.4442 Å, c = 4.2868 Å
α = 90.00°, β = 90.00°, γ = 90.00°
Last column: nearest neighbours and their distance in Å.
Positions (direct):
Zn1 0.0000 0.0000 0.5000  2 Be 2.14
Pd1 0.5000 0.0000 0.0000  2 Be 2.22
Pd2 0.0000 0.5000 0.0000  2 Be 2.22
Y1 0.5000 0.5000 0.5000  8 Pd 3.09, 4 Zn 3.14
Be1 0.0000 0.0000 0.0000  2 Zn 2.14, 4 Pd 2.22

(9)
Compound: LiSiTe2
Source: the Alexandria database
Functional: PBE
Structure: optimized geometry

Values from the calculation:
E above lowest polymorph = 0.000 eV/f.u.
E_form (uncorrected) = -28.70 kJ/mol of atoms

a = 3.9813 Å, b = 3.9813 Å, c = 7.3342 Å
α = 74.21°, β = 74.21°, γ = 60.20°
Last column: nearest neighbours and their distance in Å.
Positions (direct):
Li1 0.7500 0.7500 0.7500  6 Te 2.96-2.97
Te1 0.5057 0.5057 0.4813  3 Si 2.80-2.81, 3 Li 2.96-2.97
Te2 0.9943 0.9943 0.0187  3 Si 2.80-2.81, 3 Li 2.96-2.97
Si1 0.2500 0.2500 0.2500  6 Te 2.80-2.81

(10)
Compound: CsK2IrAu
Source: the Alexandria database
Functional: PBE
Structure: optimized geometry

Values from the calculation:
DFT total energy = -2.619 eV per atom

a = 6.1532 Å, b = 5.1179 Å, c = 6.1532 Å
α = 90.00°, β = 90.00°, γ = 90.00°
Last column: nearest neighbours and their distance in Å.
Positions (direct):
Ir1 0.0000 0.5000 0.0000  2 Au 2.56
Cs1 0.5000 0.5000 0.5000  8 K 4.00, 4 Ir 4.35
K1 0.5000 0.0000 0.0000  2 Au 3.08
K2 0.0000 0.0000 0.5000  2 Au 3.08
Au1 0.0000 0.0000 0.0000  2 Ir 2.56

(11)
Compound: PaTlBr6
Source: the Alexandria database
Functional: PBE
Structure: optimized geometry

Values from the calculation:
E_form (uncorrected) = -127.01 kJ/mol of atoms

a = 7.4779 Å, b = 7.4765 Å, c = 8.1092 Å
α = 62.52°, β = 62.49°, γ = 59.98°
Last column: nearest neighbours and their distance in Å.
Positions (direct):
Tl1 0.5000 0.5000 0.5000  6 Br 3.38
Pa1 0.0000 0.0000 0.0000  6 Br 2.72
Br1 0.6104 0.2041 0.2283  1 Pa 2.72
Br2 0.0431 0.3896 0.7720  1 Pa 2.72
Br3 0.3896 0.7959 0.7717  1 Pa 2.72
Br4 0.7958 0.0431 0.7720  1 Pa 2.72
Br5 0.2042 0.9569 0.2280  1 Pa 2.72
Br6 0.9569 0.6104 0.2280  1 Pa 2.72

(12)
Compound: PmDy8Ir6
Source: the Alexandria database
Functional: PBE
Structure: optimized geometry

Values from the calculation:
DFT total energy = -7.081 eV per atom

a = 7.6810 Å, b = 7.6810 Å, c = 7.6810 Å
α = 65.57°, β = 65.57°, γ = 65.57°
Last column: nearest neighbours and their distance in Å.
Positions (direct):
Dy1 0.4503 0.1100 0.7762  5 Ir 2.90-3.05
Dy2 0.6657 0.6657 0.6657  6 Ir 2.94-2.96
Dy3 0.1100 0.7762 0.4503  5 Ir 2.90-3.05
Dy4 0.8900 0.2238 0.5497  5 Ir 2.90-3.05
Dy5 0.7762 0.4503 0.1100  5 Ir 2.90-3.05
Dy6 0.3343 0.3343 0.3343  6 Ir 2.94-2.96
Dy7 0.5497 0.8900 0.2238  5 Ir 2.90-3.05
Dy8 0.2238 0.5497 0.8900  5 Ir 2.90-3.05
Ir1 0.2782 0.9422 0.6074  7 Dy 2.90-3.05, 1 Pm 2.97
Ir2 0.0578 0.3926 0.7218  7 Dy 2.90-3.05, 1 Pm 2.97
Ir3 0.3926 0.7218 0.0578  7 Dy 2.90-3.05, 1 Pm 2.97
Ir4 0.9422 0.6074 0.2782  7 Dy 2.90-3.05, 1 Pm 2.97
Ir5 0.6074 0.2782 0.9422  7 Dy 2.90-3.05, 1 Pm 2.97
Ir6 0.7218 0.0578 0.3926  7 Dy 2.90-3.05, 1 Pm 2.97
Pm1 0.0000 0.0000 0.0000  6 Ir 2.97